The following is a DFT calculation (PBE) of crystalline Y2ScCd at its relaxed geometry.

VASP energy ... -5.1400 eV/atom
Crystal system ... tetragonal

Cell: 4.802 4.802 4.677 Å, 90.00 90.00 90.00°
Atoms (fractional coordinates):
Y 0.000 0.500 0.000
Y 0.500 0.000 0.000
Sc 0.000 0.000 0.500
Cd 0.500 0.500 0.500


The following is a DFT calculation (PBE) of crystalline YScCd at its relaxed geometry.

VASP energy ... -4.7531 eV/atom
ΔE to the lowest computed polymorph ... 33 meV per atom
Crystal system ... tetragonal

Cell: 6.927 6.927 6.927 Å, 151.13 151.13 41.29°
Atoms (fractional coordinates):
Y 0.000 0.000 0.000
Sc 0.682 0.682 0.000
Cd 0.328 0.328 0.000


The following is a DFT calculation (PBE) of crystalline Y3ScCd4 at its relaxed geometry.

VASP energy ... -4.0063 eV/atom
Crystal system ... tetragonal

Cell: 3.690 3.690 14.870 Å, 90.00 90.00 90.00°
Atoms (fractional coordinates):
Y 0.000 0.000 0.000
Y 0.000 0.000 0.257
Y 0.000 0.000 0.743
Sc 0.000 0.000 0.500
Cd 0.500 0.500 0.128
Cd 0.500 0.500 0.389
Cd 0.500 0.500 0.611
Cd 0.500 0.500 0.872


The following is a DFT calculation (PBE) of crystalline YSc2Cd at its relaxed geometry.

VASP energy ... -5.0998 eV/atom
Crystal system ... orthorhombic

Cell: 3.482 4.401 6.633 Å, 90.00 90.00 90.00°
Atoms (fractional coordinates):
Y 0.000 0.000 0.000
Sc 0.000 0.000 0.499
Sc 0.500 0.500 0.726
Cd 0.500 0.500 0.257


Computed DFT formation energy, in the same sequence as the records: -0.096; -0.183; -0.333; -0.089 eV per atom.